The following is a PBE calculation of Ba2HgHRh after structural relaxation, from Alexandria.

Output
Offset from the most stable computed form in meV per atom: 63

Lattice parameters (Å, degrees): 5.8122 5.8122 3.7959 90.00 90.00 90.00
Sites, in units of the cell vectors:
Ba 0.5000 0.0000 0.0000
Ba 0.0000 0.5000 0.0000
Rh 0.0000 0.0000 0.5000
Hg 0.5000 0.5000 0.5000
H 0.0000 0.0000 0.0000

---

The following is a PBE calculation of DySi2Tc after structural relaxation, from Alexandria.

Output
Raw formation energy in eV/atom: -0.59
Offset from the most stable computed form in meV per atom: 108

Lattice parameters (Å, degrees): 4.1215 4.1215 5.4226 67.66 67.66 60.00
Sites, in units of the cell vectors:
Dy 0.5000 0.5000 0.5000
Tc 0.0000 0.0000 0.0000
Si 0.7123 0.7123 0.8631
Si 0.2877 0.2877 0.1369

---

The following is a PBE calculation of AcClF after structural relaxation, from Alexandria.

Output
Raw formation energy in eV/atom: -2.51
Offset from the most stable computed form in meV per atom: 234

Lattice parameters (Å, degrees): 4.0745 4.0745 5.0581 113.75 113.75 90.00
Sites, in units of the cell vectors:
F 0.9308 0.9308 0.8617
Ac 0.6426 0.6426 0.2853
Cl 0.2765 0.2765 0.5530

---

The following is a PBE calculation of BaZrIn2 after structural relaxation, from Alexandria.

Output
Calculated formation energy in meV/atom: 147
Offset from the most stable computed form in meV per atom: 393

Lattice parameters (Å, degrees): 6.2413 6.2413 6.2413 135.71 135.71 64.43
Sites, in units of the cell vectors:
Ba 0.7500 0.2500 0.5000
In 0.2500 0.7500 0.5000
In 0.0000 0.0000 0.0000
Zr 0.5000 0.5000 0.0000

---

The following is a PBE calculation of LaSm2Y5 after structural relaxation, from Alexandria.

Output
Calculated formation energy in meV/atom: 22
Offset from the most stable computed form in meV per atom: 6

Lattice parameters (Å, degrees): 5.0993 7.2173 14.4529 90.00 90.00 90.00
Sites, in units of the cell vectors:
Y 0.5000 0.2517 0.8740
Y 0.0000 0.0022 0.7516
Y 0.5000 0.2483 0.3740
Y 0.0000 0.5022 0.7484
Y 0.0000 0.5000 0.5000
Y 0.0000 0.0000 0.0000
Y 0.0000 0.4978 0.2516
Y 0.5000 0.7517 0.6260
Y 0.5000 0.7483 0.1260
Y 0.0000 0.9978 0.2484
Sm 0.5000 0.2523 0.6260
Sm 0.5000 0.7477 0.3740
Sm 0.5000 0.7523 0.8740
Sm 0.5000 0.2477 0.1260
La 0.0000 0.5000 0.0000
La 0.0000 0.0000 0.5000

---

The following is a PBE calculation of Tb2Sm12Sc5 after structural relaxation, from Alexandria.

Output
Calculated formation energy in meV/atom: 153

Lattice parameters (Å, degrees): 8.9734 9.1865 8.3533 89.99 90.00 119.24
Sites, in units of the cell vectors:
Tb 0.7842 0.0000 0.0000
Tb 0.2158 0.0000 0.0000
Sm 0.1664 0.3328 0.8686
Sm 0.9770 0.3686 0.2239
Sm 0.0230 0.6314 0.7761
Sm 0.3904 0.2187 0.6189
Sm 0.4477 0.8955 0.7168
Sm 0.5523 0.1045 0.2832
Sm 0.6084 0.6314 0.7761
Sm 0.8283 0.2187 0.6189
Sm 0.1717 0.7813 0.3811
Sm 0.8336 0.6672 0.1314
Sm 0.6096 0.7813 0.3811
Sm 0.3916 0.3686 0.2239
Sc 0.2501 0.5001 0.5419
Sc 0.0000 0.0000 0.5000
Sc 0.3548 0.7096 0.0610
Sc 0.7499 0.4999 0.4581
Sc 0.6452 0.2904 0.9390

---

The following is a PBE calculation of UTl2Pt3O12 after structural relaxation, from Alexandria.

Output
Raw formation energy in eV/atom: -1.00

Lattice parameters (Å, degrees): 7.5903 7.5903 7.5903 56.80 56.80 56.80
Sites, in units of the cell vectors:
O 0.0671 0.0671 0.6717
O 0.3283 0.9329 0.9329
O 0.3257 0.9083 0.3257
O 0.9329 0.3283 0.9329
O 0.9329 0.9329 0.3283
O 0.6717 0.0671 0.0671
O 0.3257 0.3257 0.9083
O 0.0917 0.6743 0.6743
O 0.6743 0.0917 0.6743
O 0.6743 0.6743 0.0917
O 0.9083 0.3257 0.3257
O 0.0671 0.6717 0.0671
Pt 0.0000 0.5000 0.0000
Pt 0.0000 0.0000 0.5000
Pt 0.5000 0.0000 0.0000
Tl 0.3985 0.3985 0.3985
Tl 0.6015 0.6015 0.6015
U 0.0000 0.0000 0.0000

---

The following is a PBE calculation of MoPb2Au2 after structural relaxation, from Alexandria.

Output
Calculated formation energy in meV/atom: 553

Lattice parameters (Å, degrees): 8.7153 8.7153 8.7153 155.19 155.19 35.38
Sites, in units of the cell vectors:
Au 0.7500 0.2500 0.5000
Au 0.2500 0.7500 0.5000
Pb 0.4044 0.4044 0.0000
Pb 0.5956 0.5956 0.0000
Mo 0.0000 0.0000 0.0000

---

The following is a PBE calculation of Ac8Ir5Au after structural relaxation, from Alexandria.

Output
Calculated formation energy in meV/atom: -642

Lattice parameters (Å, degrees): 8.1382 8.1382 8.1382 109.03 110.35 109.03
Sites, in units of the cell vectors:
Ir 0.3702 0.1114 0.9889
Ir 0.5000 0.0000 0.5000
Ir 0.7412 0.6188 0.6298
Ir 0.8775 0.8886 0.2588
Ir 0.0111 0.3812 0.1225
Ac 0.6382 0.8824 0.8832
Ac 0.1249 0.7542 0.4868
Ac 0.6294 0.3619 0.8751
Ac 0.0008 0.1176 0.7558
Ac 0.1168 0.7550 0.9992
Ac 0.7325 0.2458 0.3706
Ac 0.5132 0.6381 0.2675
Ac 0.2442 0.2450 0.3618
Au 0.2500 0.5000 0.7500

---

The following is a PBE calculation of KYHgSe3 after structural relaxation, from Alexandria.

Output
Raw formation energy in eV/atom: -1.20

Lattice parameters (Å, degrees): 4.2609 8.8575 10.2166 106.92 90.00 90.00
Sites, in units of the cell vectors:
Hg 0.2500 0.0918 0.6115
Hg 0.7500 0.9082 0.3885
Se 0.2500 0.1036 0.8715
Se 0.2500 0.5427 0.8497
Se 0.7500 0.8964 0.1285
Se 0.7500 0.2445 0.5444
Se 0.7500 0.4573 0.1503
Se 0.2500 0.7555 0.4556
Y 0.7500 0.3294 0.8625
Y 0.2500 0.6706 0.1375
K 0.7500 0.7854 0.7601
K 0.2500 0.2146 0.2399

---

The following is a PBE calculation of TaAgHg2 after structural relaxation, from Alexandria.

Output
Calculated formation energy in meV/atom: 430

Lattice parameters (Å, degrees): 2.9420 4.3829 6.1802 90.00 90.00 90.00
Sites, in units of the cell vectors:
Hg 0.5000 0.5000 0.2745
Hg 0.0000 0.0000 0.9833
Ta 0.0000 0.0000 0.4992
Ag 0.5000 0.5000 0.7430

---

The following is a PBE calculation of Ce2Ti2Zn15 after structural relaxation, from Alexandria.

Output
Calculated formation energy in meV/atom: -198

Lattice parameters (Å, degrees): 6.8337 6.8337 6.8337 84.95 84.95 84.95
Sites, in units of the cell vectors:
Zn 0.7121 0.0000 0.2879
Zn 0.3565 0.8446 0.3565
Zn 0.0000 0.0000 0.5000
Zn 0.2879 0.7121 0.0000
Zn 0.0000 0.7121 0.2879
Zn 0.0000 0.5000 0.0000
Zn 0.6435 0.6435 0.1554
Zn 0.3565 0.3565 0.8446
Zn 0.1554 0.6435 0.6435
Zn 0.8446 0.3565 0.3565
Zn 0.2879 0.0000 0.7121
Zn 0.6435 0.1554 0.6435
Zn 0.5000 0.0000 0.0000
Zn 0.0000 0.2879 0.7121
Zn 0.7121 0.2879 0.0000
Ce 0.3287 0.3287 0.3287
Ce 0.6713 0.6713 0.6713
Ti 0.0935 0.0935 0.0935
Ti 0.9065 0.9065 0.9065

---

| no. | raw total energy (eV per cell) |
| --- | --- |
| 1 | -16.6 |
| 2 | -28.2 |
| 3 | -15.4 |
| 4 | -15.4 |
| 5 | -93.0 |
| 6 | -94.6 |
| 7 | -111.6 |
| 8 | -22.0 |
| 9 | -89.4 |
| 10 | -51.0 |
| 11 | -13.6 |
| 12 | -50.5 |